Material: Pa2TiCrN5
Method: DFT, GGA-PBE
State: optimized geometry

CIF file:
```
data_Pa2TiCrN5
_chemical_formula_sum 'Pa8 Ti4 Cr4 N20'
_symmetry_space_group_name_H-M 'C m c 21'
_symmetry_Int_Tables_number 36
_symmetry_space_group_name_Hall 'C 2c -2'
_cell_length_a 3.253
_cell_length_b 12.924
_cell_length_c 9.951
_cell_angle_alpha 90.00
_cell_angle_beta 90.00
_cell_angle_gamma 90.00
loop_
_atom_site_label
_atom_site_type_symbol
_atom_site_fract_x
_atom_site_fract_y
_atom_site_fract_z
Pa1 Pa 0.000 0.109 0.000
Pa2 Pa 0.000 0.145 0.624
Ti1 Ti 0.000 0.201 0.325
Cr1 Cr 0.000 0.467 0.782
N1 N 0.000 0.051 0.382
N2 N 0.000 0.282 0.980
N3 N 0.000 0.321 0.693
N4 N 0.000 0.368 0.320
N5 N 0.000 0.489 0.101
```

Results
E_form (uncorrected): -1.36 eV per atom
N(E_F): 0.66 states/eV/atom